No. 1
Density functional theory data (PBE) for a relaxed Cu2HgGeS4 crystal.

The calculation puts the density of states at the Fermi level at 0.91 states/eV/f.u. The value obtained for the formation energy without anion corrections is -27.85 kJ per mole of atoms. Its distance to the lowest polymorph of the same formula is 0 meV/atom. The value obtained for the volume is 164.3 Å³/f.u. For the final energy, the calculation gives -3.991 eV/atom. The total magnetization comes out at 0.00 μB per formula unit.

The space group is I-42m (No. 121) and the conventional cell measures 5.563, 5.563 and 10.619 Å, with angles of 90.00, 90.00 and 90.00 degrees. The distinct sites, in fractional coordinates, are Cu at (0.000, 0.500, 0.250), Hg at (0.000, 0.000, 0.000), Ge at (0.000, 0.000, 0.500) and S at (0.225, 0.225, 0.364).

---

No. 2
Density functional theory data (PBE) for a relaxed CuHgGe2Sb crystal.

The calculation puts the density of states at the Fermi level at 1.68 states/eV/f.u. The value obtained for the formation energy without anion corrections is 109.45 kJ per mole of atoms. The value obtained for the volume is 150.3 Å³/f.u. For the final energy, the calculation gives -2.417 eV/atom. The total magnetization comes out at 0.00 μB per formula unit.

The space group is P4/mmm (No. 123) and the conventional cell measures 5.191, 5.191 and 5.579 Å, with angles of 90.00, 90.00 and 90.00 degrees. The distinct sites, in fractional coordinates, are Cu at (0.000, 0.000, 0.000), Hg at (0.500, 0.500, 0.500), Ge at (0.000, 0.500, 0.500) and Sb at (0.500, 0.500, 0.000).

---

No. 3
Density functional theory data (PBE) for a relaxed Sm2Cu4HgGe3 crystal.

The calculation puts the density of states at the Fermi level at 2.67 states/eV/f.u. Its energy of formation from the pure elements is -405.6 kJ/mol of formula units. The value obtained for the volume is 183.1 Å³/f.u. For the final energy, the calculation gives -4.418 eV/atom. The total magnetization comes out at 0.00 μB per formula unit.

The space group is P-4m2 (No. 115) and the conventional cell measures 4.187, 4.187 and 10.440 Å, with angles of 90.00, 90.00 and 90.00 degrees. The distinct sites, in fractional coordinates, are Sm at (0.000, 0.500, 0.234), Cu at (0.000, 0.000, 0.000), Cu at (0.000, 0.500, 0.647), Cu at (0.500, 0.500, 0.000), Hg at (0.000, 0.000, 0.500), Ge at (0.000, 0.500, 0.872) and Ge at (0.500, 0.500, 0.500).

---

No. 4
Density functional theory data (PBE) for a relaxed Sm2Cu3HgGe4 crystal.

The calculation puts the density of states at the Fermi level at 3.41 states/eV/f.u. Its energy of formation from the pure elements is -392.5 kJ/mol of formula units. The value obtained for the volume is 188.7 Å³/f.u. For the final energy, the calculation gives -4.457 eV/atom. The total magnetization comes out at 0.00 μB per formula unit.

The space group is P-4m2 (No. 115) and the conventional cell measures 4.257, 4.257 and 10.415 Å, with angles of 90.00, 90.00 and 90.00 degrees. The distinct sites, in fractional coordinates, are Sm at (0.000, 0.500, 0.241), Cu at (0.000, 0.500, 0.877), Cu at (0.500, 0.500, 0.500), Hg at (0.000, 0.000, 0.500), Ge at (0.000, 0.000, 0.000), Ge at (0.000, 0.500, 0.651) and Ge at (0.500, 0.500, 0.000).

---

No. 5
Density functional theory data (PBE) for a relaxed Sr2Cu4HgGe3 crystal.

The calculation puts the density of states at the Fermi level at 4.76 states/eV/f.u. Its energy of formation from the pure elements is -274.7 kJ/mol of formula units. The value obtained for the volume is 197.9 Å³/f.u. For the final energy, the calculation gives -3.675 eV/atom. The total magnetization comes out at 0.00 μB per formula unit.

The space group is P-4m2 (No. 115) and the conventional cell measures 4.394, 4.394 and 10.248 Å, with angles of 90.00, 90.00 and 90.00 degrees. The distinct sites, in fractional coordinates, are Sr at (0.000, 0.500, 0.239), Cu at (0.000, 0.000, 0.000), Cu at (0.000, 0.500, 0.642), Cu at (0.500, 0.500, 0.000), Hg at (0.000, 0.000, 0.500), Ge at (0.000, 0.500, 0.879) and Ge at (0.500, 0.500, 0.500).

---

No. 6
Density functional theory data (PBE) for a relaxed Y2CuHgGe crystal.

The calculation puts the density of states at the Fermi level at 5.74 states/eV/f.u. Its energy of formation from the pure elements is -63.1 kJ/mol of formula units. The value obtained for the volume is 126.6 Å³/f.u. For the final energy, the calculation gives -4.520 eV/atom. The total magnetization comes out at 0.00 μB per formula unit.

The space group is P4/mmm (No. 123) and the conventional cell measures 5.357, 5.357 and 4.410 Å, with angles of 90.00, 90.00 and 90.00 degrees. The distinct sites, in fractional coordinates, are Y at (0.000, 0.500, 0.000), Cu at (0.000, 0.000, 0.000), Hg at (0.500, 0.500, 0.500) and Ge at (0.000, 0.000, 0.500).